First-principles (PBE-GGA) data for crystalline KDySbSe3 at its relaxed geometry, as listed in OQMD via LeMat-Bulk.

Cell lengths 8.6444, 8.6444, 11.7770 Å; angles 90.00, 90.00, 153.35 degrees
Element x y z (fractional)
K1 0.1843 0.8157 0.7500
K2 0.8157 0.1843 0.2500
Dy1 0.5000 0.5000 0.0000
Dy2 0.5000 0.5000 0.5000
Sb1 0.1193 0.8807 0.2500
Sb2 0.8807 0.1193 0.7500
Se1 0.1197 0.8803 0.0110
Se2 0.1197 0.8803 0.4890
Se3 0.4907 0.5093 0.2500
Se4 0.5093 0.4907 0.7500
Se5 0.8803 0.1197 0.5110
Se6 0.8803 0.1197 0.9890

Results
Uncorrected energy in eV/cell: -52.49
Calculated density in g/cm³: 4.714
Size of the total moment in Bohr magnetons per cell: 0.011
Space-group type: Cmcm (63)

***

First-principles (PBE-GGA) data for crystalline KDySbTe3 at its relaxed geometry, as listed in OQMD via LeMat-Bulk.

Cell lengths 8.7551, 8.7551, 11.5011 Å; angles 90.00, 90.00, 150.68 degrees
Element x y z (fractional)
K1 0.2348 0.7652 0.7500
K2 0.7652 0.2348 0.2500
Dy1 0.0000 0.0000 0.0000
Dy2 0.0000 0.0000 0.5000
Sb1 0.4608 0.5392 0.2500
Sb2 0.5392 0.4608 0.7500
Te1 0.0959 0.9041 0.2500
Te2 0.3700 0.6300 0.0308
Te3 0.3700 0.6300 0.4692
Te4 0.6300 0.3700 0.5308
Te5 0.6300 0.3700 0.9692
Te6 0.9041 0.0959 0.7500

Results
Uncorrected energy in eV/cell: -46.97
Calculated density in g/cm³: 5.433
Size of the total moment in Bohr magnetons per cell: 0.038
Space-group type: Cmcm (63)

***

The lowest calculated density belongs to which entry?
KDySbSe3

***

Which formula does entry 2 have?
KDySbTe3

***

Look up the uncorrected energy of the first one.
-52.49 eV/cell